Entry 1:
Computed, not measured: a geometry-optimized Pm2Be6Pt9 structure at the GGA-PBE level of DFT.

Values from the calculation:
symmetry: P6/mmm (191)
DFT formation energy: -0.833 eV per atom
theoretical density: 12.9 g/cm3
V: 16.0 Å³ per atom

Geometry as POSCAR:
```
Pm2Be6Pt9
1.0
-5.119 2.130 -0.332
1.984 -1.711 4.898
3.750 9.280 1.722
Pm Be Pt
2 6 9
Cartesian
2.593 6.417 1.191 Pm
1.157 2.862 0.531 Pm
-0.384 -0.430 3.155 Be
-2.751 0.850 1.411 Be
2.115 5.753 4.302 Be
-0.253 7.033 2.559 Be
-1.500 3.947 1.986 Be
0.868 2.666 3.729 Be
0.572 8.815 1.272 Pt
4.124 6.895 3.887 Pt
1.564 7.960 3.721 Pt
-1.941 2.595 0.118 Pt
1.610 0.674 2.733 Pt
-0.949 1.739 2.567 Pt
-0.685 5.705 0.695 Pt
2.867 3.785 3.310 Pt
0.307 4.850 3.144 Pt
```

Entry 2:
Computed, not measured: a geometry-optimized Sc2ZnCoN structure at the GGA-PBE level of DFT.

Values from the calculation:
formation energy (no corrections): -0.755 eV/atom
symmetry: P4/mmm (123)
theoretical density: 5.2 g/cm3
V: 14.7 Å³ per atom

Geometry as POSCAR:
```
Sc2ZnCoN
1.0
4.466 0.000 0.000
0.000 4.466 0.000
0.000 0.000 3.677
Sc Zn Co N
2 1 1 1
Cartesian
0.000 2.233 0.000 Sc
2.233 0.000 0.000 Sc
2.233 2.233 1.839 Zn
0.000 0.000 1.839 Co
0.000 0.000 0.000 N
```

Entry 3:
Computed, not measured: a geometry-optimized CoAs2Pt structure at the GGA-PBE level of DFT.

Values from the calculation:
E above lowest polymorph: 0.88 eV/f.u.
symmetry: I-42d (122)
DFT formation energy: -0.046 eV per atom
theoretical density: 8.4 g/cm3
V: 19.9 Å³ per atom

Geometry as POSCAR:
```
CoAs2Pt
1.0
5.462 0.000 0.000
0.000 5.462 0.000
2.731 2.731 5.339
As Co Pt
4 2 2
Cartesian
3.935 1.365 1.335 As
1.526 4.096 1.335 As
4.096 4.257 4.005 As
6.827 6.666 4.005 As
2.731 2.731 0.000 Co
2.731 5.462 2.670 Co
0.000 0.000 0.000 Pt
5.462 2.731 2.670 Pt
```